Record 1
The following is a DFT calculation (PBE-GGA) of a geometry-optimized ScZn2Ag2 structure.

Lattice parameters (Å, degrees): 3.9488 3.9488 6.5872 72.56 72.56 90.00
Closest atoms and distances in Å follow each position.
Fractional positions:
Ag: 0.7500 0.2500 0.5000  4 Zn 2.66, 4 Ag 2.79
Zn: 0.6004 0.6004 0.7992  1 Zn 2.40, 4 Ag 2.66
Sc: 0.0000 0.0000 0.0000  8 Zn 3.04
Zn: 0.3996 0.3996 0.2008  1 Zn 2.40, 4 Ag 2.66
Ag: 0.2500 0.7500 0.5000  4 Zn 2.66, 4 Ag 2.79

Final energy   -3.02 eV per atom



Record 2
The following is a DFT calculation (PBE-GGA) of a geometry-optimized K2NpVN4 structure.

Lattice parameters (Å, degrees): 5.5699 7.8800 6.6148 90.00 90.00 90.00
Closest atoms and distances in Å follow each position.
Fractional positions:
N: 0.9242 0.2626 0.7546  1 V 1.86
K: 0.4481 0.3728 0.2683  2 N 2.53-2.79
N: 0.4242 0.7374 0.7454  1 V 1.86
N: 0.0117 0.9350 0.0000  1 V 1.81
N: 0.3324 0.1584 0.0000  1 V 1.80
K: 0.9481 0.6272 0.2317  2 N 2.53-2.79
N: 0.4242 0.7374 0.2546  1 V 1.86
N: 0.5117 0.0650 0.5000  1 V 1.81
V: 0.0087 0.1642 0.0000  4 N 1.80-1.86
V: 0.5087 0.8358 0.5000  4 N 1.80-1.86
K: 0.4481 0.3728 0.7317  2 N 2.53-2.79
Np: 0.9025 0.0965 0.5000  4 N 2.05-2.19
Np: 0.4025 0.9035 0.0000  4 N 2.05-2.19
N: 0.8324 0.8416 0.5000  1 V 1.80
N: 0.9242 0.2626 0.2454  1 V 1.86
K: 0.9481 0.6272 0.7683  2 N 2.53-2.79

Formation energy without anion corrections   -541.3 meV per atom



Record 3
The following is a DFT calculation (PBE-GGA) of a geometry-optimized Tm3InHg4 structure.

Lattice parameters (Å, degrees): 5.1031 5.1031 9.1274 73.77 73.77 60.00
Closest atoms and distances in Å follow each position.
Fractional positions:
Tm: 0.2562 0.2562 0.2314  8 Hg 3.06-3.27
In: 0.0000 0.0000 0.0000  8 Hg 3.18-3.41
Tm: 0.5000 0.5000 0.5000  8 Hg 3.08-3.13
Hg: 0.6207 0.6207 0.1378  5 Tm 3.06-3.19, 3 In 3.18
Hg: 0.1316 0.1316 0.6053  7 Tm 3.08-3.27, 1 In 3.41
Hg: 0.3793 0.3793 0.8622  5 Tm 3.06-3.19, 3 In 3.18
Hg: 0.8684 0.8684 0.3947  7 Tm 3.08-3.27, 1 In 3.41
Tm: 0.7438 0.7438 0.7686  8 Hg 3.06-3.27

Final energy   -2.58 eV per atom



Record 4
The following is a DFT calculation (PBE-GGA) of a geometry-optimized ReAg2Ru structure.

Lattice parameters (Å, degrees): 2.6918 4.5247 5.2402 90.00 90.00 90.00
Closest atoms and distances in Å follow each position.
Fractional positions:
Ag: 0.0000 0.0000 0.4993  4 Ag 2.61-2.69
Ru: 0.5000 0.5000 0.7500  2 Re 2.62, 2 Ru 2.69
Ag: 0.0000 0.0000 0.0007  4 Ag 2.61-2.69
Re: 0.5000 0.5000 0.2500  2 Ru 2.62, 2 Re 2.69

Final energy   -6.13 eV per atom



Record 5
The following is a DFT calculation (PBE-GGA) of a geometry-optimized Pm14HoTm structure.

Lattice parameters (Å, degrees): 7.2686 7.2686 10.2541 90.00 90.00 89.99
Closest atoms and distances in Å follow each position.
Fractional positions:
Pm: 0.6248 0.3752 0.7523  10 Pm 3.61-3.65, 1 Tm 3.61, 1 Ho 3.62
Pm: 0.6247 0.8747 0.7522  1 Tm 3.61, 10 Pm 3.61-3.65, 1 Ho 3.62
Pm: 0.1252 0.8748 0.2477  1 Tm 3.61, 1 Ho 3.61, 10 Pm 3.62-3.65
Pm: 0.8752 0.6252 0.5000  12 Pm 3.63-3.65
Pm: 0.6247 0.8747 0.2478  1 Tm 3.61, 10 Pm 3.61-3.65, 1 Ho 3.62
Pm: 0.8747 0.1253 0.5000  12 Pm 3.63-3.65
Tm: 0.3748 0.6252 0.0000  12 Pm 3.61-3.63
Pm: 0.3752 0.6248 0.5000  12 Pm 3.63-3.65
Pm: 0.1252 0.8748 0.7523  1 Tm 3.61, 1 Ho 3.61, 10 Pm 3.62-3.65
Pm: 0.1253 0.3753 0.7522  1 Tm 3.61, 10 Pm 3.61-3.65, 1 Ho 3.62
Pm: 0.3753 0.1252 0.0000  8 Pm 3.61-3.62, 2 Tm 3.63, 2 Ho 3.63
Pm: 0.6248 0.3752 0.2477  10 Pm 3.61-3.65, 1 Tm 3.61, 1 Ho 3.62
Pm: 0.3748 0.1248 0.5000  12 Pm 3.63-3.65
Pm: 0.1253 0.3753 0.2478  1 Tm 3.61, 10 Pm 3.61-3.65, 1 Ho 3.62
Ho: 0.8752 0.1248 0.0000  12 Pm 3.61-3.63
Pm: 0.8748 0.6247 0.0000  8 Pm 3.61-3.62, 2 Tm 3.63, 2 Ho 3.63

Final energy   -4.71 eV per atom



Record 6
The following is a DFT calculation (PBE-GGA) of a geometry-optimized NbCuIrPt structure.

Lattice parameters (Å, degrees): 4.4275 4.4275 4.4275 60.00 60.00 60.00
Closest atoms and distances in Å follow each position.
Fractional positions:
Ir: 0.7500 0.7500 0.7500  4 Nb 2.71, 4 Cu 2.71
Cu: 0.5000 0.5000 0.5000  4 Ir 2.71, 4 Pt 2.71
Nb: 0.0000 0.0000 0.0000  4 Ir 2.71, 4 Pt 2.71
Pt: 0.2500 0.2500 0.2500  4 Cu 2.71, 4 Nb 2.71

Final energy   -7.56 eV per atom



Record 7
The following is a DFT calculation (PBE-GGA) of a geometry-optimized AgTe2Au2 structure.

Lattice parameters (Å, degrees): 3.9718 3.9718 8.2897 76.14 76.14 90.00
Closest atoms and distances in Å follow each position.
Fractional positions:
Ag: 0.0000 0.0000 0.0000  8 Te 3.30
Te: 0.3894 0.3894 0.2211  4 Au 2.95, 4 Ag 3.30
Au: 0.7500 0.2500 0.5000  4 Au 2.81, 4 Te 2.95
Au: 0.2500 0.7500 0.5000  4 Au 2.81, 4 Te 2.95
Te: 0.6106 0.6106 0.7789  4 Au 2.95, 4 Ag 3.30

Formation energy without anion corrections   177.8 meV per atom



Record 8
The following is a DFT calculation (PBE-GGA) of a geometry-optimized SnI structure.

Lattice parameters (Å, degrees): 6.6662 15.6578 12.1295 90.00 90.00 90.00
Closest atoms and distances in Å follow each position.
Fractional positions:
I: 0.0000 0.5000 0.8483  2 Sn 2.98
I: 0.7500 0.2500 0.5983  2 Sn 2.98
I: 0.2500 0.7500 0.5983  2 Sn 2.98
Sn: 0.7500 0.1381 0.2500  2 I 2.98
Sn: 0.7500 0.3619 0.2500  2 I 2.98
Sn: 0.5000 0.8881 0.5000  2 I 2.98
Sn: 0.7500 0.8619 0.7500  2 I 2.98
Sn: 0.2500 0.6381 0.2500  2 I 2.98
Sn: 0.2500 0.1381 0.7500  2 I 2.98
I: 0.2500 0.2500 0.4017  2 Sn 2.98
Sn: 0.5000 0.3881 0.0000  2 I 2.98
I: 0.5000 0.5000 0.6517  2 Sn 2.98
I: 0.7500 0.2500 0.9017  2 Sn 2.98
Sn: 0.2500 0.3619 0.7500  2 I 2.98
I: 0.7500 0.7500 0.0983  2 Sn 2.98
I: 0.0000 0.5000 0.1517  2 Sn 2.98
I: 0.5000 0.0000 0.1517  2 Sn 2.98
Sn: 0.0000 0.6119 0.5000  2 I 2.98
Sn: 0.0000 0.8881 0.0000  2 I 2.98
Sn: 0.0000 0.3881 0.5000  2 I 2.98
Sn: 0.5000 0.6119 0.0000  2 I 2.98
I: 0.7500 0.7500 0.4017  2 Sn 2.98
I: 0.0000 0.0000 0.6517  2 Sn 2.98
Sn: 0.7500 0.6381 0.7500  2 I 2.98
Sn: 0.2500 0.8619 0.2500  2 I 2.98
I: 0.0000 0.0000 0.3483  2 Sn 2.98
Sn: 0.0000 0.1119 0.0000  2 I 2.98
I: 0.5000 0.0000 0.8483  2 Sn 2.98
I: 0.2500 0.2500 0.0983  2 Sn 2.98
I: 0.5000 0.5000 0.3483  2 Sn 2.98
Sn: 0.5000 0.1119 0.5000  2 I 2.98
I: 0.2500 0.7500 0.9017  2 Sn 2.98

Formation energy without anion corrections   -86.9 meV per atom



Record 9
The following is a DFT calculation (PBE-GGA) of a geometry-optimized DyU2O7 structure.

Lattice parameters (Å, degrees): 3.8308 3.8308 10.4493 79.44 79.44 60.00
Closest atoms and distances in Å follow each position.
Fractional positions:
O: 0.1381 0.1381 0.5857  1 U 2.15, 3 Dy 2.38
O: 0.2798 0.2798 0.1607  3 U 2.25, 3 O 2.47
O: 0.0000 0.0000 0.0000  2 U 2.08
Dy: 0.5000 0.5000 0.5000  8 O 2.36-2.38
U: 0.0678 0.0678 0.7966  8 O 2.08-2.31
O: 0.7202 0.7202 0.8393  3 U 2.25, 3 O 2.47
O: 0.4231 0.4231 0.7307  3 U 2.31, 1 Dy 2.36, 3 O 2.47
U: 0.9322 0.9322 0.2034  8 O 2.08-2.31
O: 0.8619 0.8619 0.4143  1 U 2.15, 3 Dy 2.38
O: 0.5769 0.5769 0.2693  3 U 2.31, 1 Dy 2.36, 3 O 2.47

Formation energy without anion corrections   -3287.5 meV per atom



Record 10
The following is a DFT calculation (PBE-GGA) of a geometry-optimized AgAs2I6 structure.

Lattice parameters (Å, degrees): 4.4984 8.9532 9.6001 105.73 103.55 90.00
Closest atoms and distances in Å follow each position.
Fractional positions:
I: 0.0099 0.2388 0.0198  1 As 2.77, 2 Ag 3.07
I: 0.6728 0.1201 0.3456  2 As 2.93, 1 Ag 3.10
I: 0.6676 0.5582 0.3352  3 As 3.01-3.06
I: 0.3324 0.4418 0.6648  3 As 3.01-3.06
I: 0.9901 0.7612 0.9802  1 As 2.77, 2 Ag 3.07
Ag: 0.5000 0.0000 0.0000  6 I 3.07-3.10
As: 0.1647 0.3243 0.3293  6 I 2.77-3.06
As: 0.8353 0.6757 0.6707  6 I 2.77-3.06
I: 0.3272 0.8799 0.6544  2 As 2.93, 1 Ag 3.10

Formation energy without anion corrections   -60.2 meV per atom



Record 11
The following is a DFT calculation (PBE-GGA) of a geometry-optimized MnGaRe2As structure.

Lattice parameters (Å, degrees): 4.5473 4.6782 4.5473 90.00 90.00 90.00
Closest atoms and distances in Å follow each position.
Fractional positions:
Ga: 0.0000 0.5000 0.0000  2 As 2.34
Re: 0.0000 0.0000 0.5000  2 As 2.27
Re: 0.5000 0.0000 0.0000  2 As 2.27
Mn: 0.5000 0.5000 0.5000  4 Ga 3.22, 8 Re 3.26
As: 0.0000 0.0000 0.0000  4 Re 2.27, 2 Ga 2.34

Final energy   -6.42 eV per atom